Below is an optimized crystal structure of Th2Si3Au2, with properties calculated at the PBE-GGA level.

Its formation energy without anion corrections is -0.602 eV per atom.

The space group is Cmcm (No. 63) and the conventional cell measures 4.3371, 18.6129 and 7.1971 Å, with angles of 90.00, 90.00 and 90.00 degrees. Symmetry generates all atoms from Th at (0.0000, 0.0512, 0.2500), Th at (0.0000, 0.1549, 0.7500), Si at (0.0000, 0.2213, 0.2500), Si at (0.0000, 0.4456, 0.0815) and Au at (0.0000, 0.3204, 0.5560).